# RbNiO2 (PBE+U, relaxed)
# Volume ... 327 Å³ per cell
# Calculated density ... 3.58 Mg/m³
# E_tot ... -4.397 eV/atom
data_RbNiO2
_cell_length_a 5.420
_cell_length_b 6.524
_cell_length_c 9.253
_cell_angle_alpha 90.25
_cell_angle_beta 90.04
_cell_angle_gamma 90.85
_space_group_name_H-M_alt 'P -1'
_space_group_IT_number 2
_space_group_name_Hall '-P 1'
loop_
_atom_site_label
_atom_site_type_symbol
_atom_site_fract_x
_atom_site_fract_y
_atom_site_fract_z
Rb1 Rb 0.179 0.255 0.097
Rb2 Rb 0.321 0.744 0.597
Ni1 Ni 0.138 0.756 0.250
Ni2 Ni 0.362 0.244 0.750
O1 O 0.107 0.432 0.772
O2 O 0.116 0.057 0.773
O3 O 0.384 0.943 0.272
O4 O 0.393 0.568 0.273